(1)
A plane-wave DFT calculation with PBE was carried out for an optimized crystal structure of Ac2NdSmTm.

Structure (CIF):
```
data_Ac2NdSmTm
_cell_length_a 6.798
_cell_length_b 8.877
_cell_length_c 6.469
_cell_angle_alpha 90.00
_cell_angle_beta 90.00
_cell_angle_gamma 90.00
_symmetry_space_group_name_H-M 'P 1'
_symmetry_Int_Tables_number 1
_symmetry_space_group_name_Hall 'P 1'
loop_
_atom_site_label
_atom_site_fract_x
_atom_site_fract_y
_atom_site_fract_z
_atom_site_occupancy
Ac1 0.712 0.706 0.750 1
Ac2 0.712 0.294 0.750 1
Ac3 0.288 0.706 0.250 1
Ac4 0.288 0.294 0.250 1
Nd1 0.586 0.000 0.250 1
Nd2 0.414 0.000 0.750 1
Sm1 0.185 0.500 0.750 1
Sm2 0.815 0.500 0.250 1
Tm1 0.000 0.000 0.000 1
Tm2 0.000 0.000 0.500 1
```

- energy of formation (eV/atom) = 0.252
- ρ (g cm⁻³) = 7.805
- symmetry = Pmma (51)

---

(2)
A plane-wave DFT calculation with PBE was carried out for an optimized crystal structure of AcNdSm2Tm.

Structure (CIF):
```
data_AcNdSm2Tm
_cell_length_a 7.357
_cell_length_b 8.354
_cell_length_c 7.388
_cell_angle_alpha 124.42
_cell_angle_beta 90.00
_cell_angle_gamma 90.00
_symmetry_space_group_name_H-M 'P 1'
_symmetry_Int_Tables_number 1
_symmetry_space_group_name_Hall 'P 1'
loop_
_atom_site_label
_atom_site_fract_x
_atom_site_fract_y
_atom_site_fract_z
_atom_site_occupancy
Ac1 0.250 0.757 0.513 1
Ac2 0.750 0.243 0.487 1
Nd1 0.250 0.059 0.118 1
Nd2 0.750 0.941 0.882 1
Sm1 0.500 0.305 0.000 1
Sm2 0.000 0.695 0.000 1
Sm3 0.500 0.695 0.000 1
Sm4 0.000 0.305 0.000 1
Tm1 0.750 0.690 0.381 1
Tm2 0.250 0.310 0.619 1
```

- energy of formation (eV/atom) = 0.350
- ρ (g cm⁻³) = 7.456
- symmetry = Cmcm (63)

---

(3)
A plane-wave DFT calculation with PBE was carried out for an optimized crystal structure of AcNd6Sm2Y.

Structure (CIF):
```
data_AcNd6Sm2Y
_cell_length_a 9.895
_cell_length_b 9.125
_cell_length_c 9.125
_cell_angle_alpha 118.19
_cell_angle_beta 93.34
_cell_angle_gamma 93.34
_symmetry_space_group_name_H-M 'P 1'
_symmetry_Int_Tables_number 1
_symmetry_space_group_name_Hall 'P 1'
loop_
_atom_site_label
_atom_site_fract_x
_atom_site_fract_y
_atom_site_fract_z
_atom_site_occupancy
Ac1 0.250 0.976 0.024 1
Ac2 0.750 0.024 0.976 1
Nd1 0.054 0.125 0.749 1
Nd2 0.446 0.251 0.875 1
Nd3 0.946 0.875 0.251 1
Nd4 0.554 0.749 0.125 1
Nd5 0.315 0.985 0.439 1
Nd6 0.185 0.561 0.015 1
Nd7 0.685 0.015 0.561 1
Nd8 0.815 0.439 0.985 1
Nd9 0.119 0.709 0.497 1
Nd10 0.381 0.503 0.291 1
Nd11 0.881 0.291 0.503 1
Nd12 0.619 0.497 0.709 1
Sm1 0.455 0.799 0.688 1
Sm2 0.045 0.312 0.201 1
Sm3 0.545 0.201 0.312 1
Sm4 0.955 0.688 0.799 1
Y1 0.250 0.410 0.590 1
Y2 0.750 0.590 0.410 1
```

- energy of formation (eV/atom) = 0.113
- ρ (g cm⁻³) = 6.822
- symmetry = C2/c (15)

---

(4)
A plane-wave DFT calculation with PBE was carried out for an optimized crystal structure of AcNd6SmY2.

Structure (CIF):
```
data_AcNd6SmY2
_cell_length_a 9.785
_cell_length_b 9.069
_cell_length_c 9.069
_cell_angle_alpha 116.26
_cell_angle_beta 92.87
_cell_angle_gamma 92.87
_symmetry_space_group_name_H-M 'P 1'
_symmetry_Int_Tables_number 1
_symmetry_space_group_name_Hall 'P 1'
loop_
_atom_site_label
_atom_site_fract_x
_atom_site_fract_y
_atom_site_fract_z
_atom_site_occupancy
Ac1 0.250 0.964 0.036 1
Ac2 0.750 0.036 0.964 1
Nd1 0.057 0.112 0.755 1
Nd2 0.443 0.245 0.888 1
Nd3 0.943 0.888 0.245 1
Nd4 0.557 0.755 0.112 1
Nd5 0.320 0.993 0.450 1
Nd6 0.180 0.550 0.007 1
Nd7 0.680 0.007 0.550 1
Nd8 0.820 0.450 0.993 1
Nd9 0.117 0.706 0.480 1
Nd10 0.383 0.520 0.294 1
Nd11 0.883 0.294 0.520 1
Nd12 0.617 0.480 0.706 1
Sm1 0.250 0.410 0.590 1
Sm2 0.750 0.590 0.410 1
Y1 0.449 0.795 0.695 1
Y2 0.051 0.305 0.205 1
Y3 0.551 0.205 0.305 1
Y4 0.949 0.695 0.795 1
```

- energy of formation (eV/atom) = 0.119
- ρ (g cm⁻³) = 6.567
- symmetry = C2/c (15)

---

(5)
A plane-wave DFT calculation with PBE was carried out for an optimized crystal structure of AcNdSm2Y6.

Structure (CIF):
```
data_AcNdSm2Y6
_cell_length_a 9.722
_cell_length_b 9.009
_cell_length_c 9.009
_cell_angle_alpha 117.99
_cell_angle_beta 93.19
_cell_angle_gamma 93.19
_symmetry_space_group_name_H-M 'P 1'
_symmetry_Int_Tables_number 1
_symmetry_space_group_name_Hall 'P 1'
loop_
_atom_site_label
_atom_site_fract_x
_atom_site_fract_y
_atom_site_fract_z
_atom_site_occupancy
Ac1 0.250 0.972 0.028 1
Ac2 0.750 0.028 0.972 1
Nd1 0.250 0.410 0.590 1
Nd2 0.750 0.590 0.410 1
Sm1 0.451 0.806 0.693 1
Sm2 0.049 0.307 0.194 1
Sm3 0.549 0.194 0.307 1
Sm4 0.951 0.693 0.806 1
Y1 0.058 0.126 0.748 1
Y2 0.442 0.252 0.874 1
Y3 0.942 0.874 0.252 1
Y4 0.558 0.748 0.126 1
Y5 0.319 0.978 0.438 1
Y6 0.181 0.562 0.022 1
Y7 0.681 0.022 0.562 1
Y8 0.819 0.438 0.978 1
Y9 0.115 0.709 0.492 1
Y10 0.385 0.508 0.291 1
Y11 0.885 0.291 0.508 1
Y12 0.615 0.492 0.709 1
```

- energy of formation (eV/atom) = 0.126
- ρ (g cm⁻³) = 5.779
- symmetry = C2/c (15)

---

(6)
A plane-wave DFT calculation with PBE was carried out for an optimized crystal structure of AcNdSm2Y5.

Structure (CIF):
```
data_AcNdSm2Y5
_cell_length_a 8.906
_cell_length_b 8.906
_cell_length_c 10.065
_cell_angle_alpha 116.26
_cell_angle_beta 116.26
_cell_angle_gamma 90.00
_symmetry_space_group_name_H-M 'P 1'
_symmetry_Int_Tables_number 1
_symmetry_space_group_name_Hall 'P 1'
loop_
_atom_site_label
_atom_site_fract_x
_atom_site_fract_y
_atom_site_fract_z
_atom_site_occupancy
Ac1 0.250 0.750 0.500 1
Ac2 0.750 0.250 0.500 1
Nd1 0.250 0.250 0.500 1
Nd2 0.750 0.750 0.500 1
Sm1 0.114 0.386 0.000 1
Sm2 0.614 0.114 0.000 1
Sm3 0.386 0.886 0.000 1
Sm4 0.886 0.614 0.000 1
Y1 0.920 0.420 0.261 1
Y2 0.659 0.159 0.739 1
Y3 0.080 0.580 0.739 1
Y4 0.159 0.080 0.739 1
Y5 0.580 0.659 0.739 1
Y6 0.841 0.920 0.261 1
Y7 0.420 0.341 0.261 1
Y8 0.341 0.841 0.261 1
Y9 0.500 0.500 0.000 1
Y10 0.000 0.000 0.000 1
```

- energy of formation (eV/atom) = 0.254
- ρ (g cm⁻³) = 5.955
- symmetry = I4/mcm (140)

---

(7)
A plane-wave DFT calculation with PBE was carried out for an optimized crystal structure of AcNd3SmY.

Structure (CIF):
```
data_AcNd3SmY
_cell_length_a 5.254
_cell_length_b 8.292
_cell_length_c 11.092
_cell_angle_alpha 116.39
_cell_angle_beta 90.00
_cell_angle_gamma 90.00
_symmetry_space_group_name_H-M 'P 1'
_symmetry_Int_Tables_number 1
_symmetry_space_group_name_Hall 'P 1'
loop_
_atom_site_label
_atom_site_fract_x
_atom_site_fract_y
_atom_site_fract_z
_atom_site_occupancy
Ac1 0.250 0.123 0.292 1
Ac2 0.750 0.877 0.708 1
Nd1 0.750 0.868 0.040 1
Nd2 0.250 0.132 0.960 1
Nd3 0.250 0.624 0.454 1
Nd4 0.750 0.376 0.546 1
Nd5 0.750 0.379 0.207 1
Nd6 0.250 0.621 0.793 1
Sm1 0.250 0.620 0.124 1
Sm2 0.750 0.380 0.876 1
Y1 0.250 0.130 0.627 1
Y2 0.750 0.870 0.373 1
```

- energy of formation (eV/atom) = 0.032
- ρ (g cm⁻³) = 6.898
- symmetry = P2_1/m (11)

---

(8)
A plane-wave DFT calculation with PBE was carried out for an optimized crystal structure of Ac2NdSm3Y6.

Structure (CIF):
```
data_Ac2NdSm3Y6
_cell_length_a 6.379
_cell_length_b 6.379
_cell_length_c 11.976
_cell_angle_alpha 95.08
_cell_angle_beta 95.08
_cell_angle_gamma 119.99
_symmetry_space_group_name_H-M 'P 1'
_symmetry_Int_Tables_number 1
_symmetry_space_group_name_Hall 'P 1'
loop_
_atom_site_label
_atom_site_fract_x
_atom_site_fract_y
_atom_site_fract_z
_atom_site_occupancy
Ac1 0.333 0.667 0.000 1
Ac2 0.667 0.333 0.000 1
Nd1 0.000 0.000 0.000 1
Sm1 0.167 0.833 0.500 1
Sm2 0.833 0.167 0.500 1
Sm3 0.500 0.500 0.500 1
Y1 0.915 0.584 0.744 1
Y2 0.754 0.754 0.256 1
Y3 0.085 0.416 0.256 1
Y4 0.584 0.915 0.744 1
Y5 0.246 0.246 0.744 1
Y6 0.416 0.085 0.256 1
```

- energy of formation (eV/atom) = 0.029
- ρ (g cm⁻³) = 6.327
- symmetry = C2/m (12)

---

(9)
A plane-wave DFT calculation with PBE was carried out for an optimized crystal structure of AcNd2SmY6.

Structure (CIF):
```
data_AcNd2SmY6
_cell_length_a 9.104
_cell_length_b 8.825
_cell_length_c 8.790
_cell_angle_alpha 90.00
_cell_angle_beta 85.18
_cell_angle_gamma 90.00
_symmetry_space_group_name_H-M 'P 1'
_symmetry_Int_Tables_number 1
_symmetry_space_group_name_Hall 'P 1'
loop_
_atom_site_label
_atom_site_fract_x
_atom_site_fract_y
_atom_site_fract_z
_atom_site_occupancy
Ac1 0.000 0.500 0.000 1
Ac2 0.500 0.000 0.500 1
Nd1 0.975 0.876 0.365 1
Nd2 0.525 0.376 0.135 1
Nd3 0.475 0.624 0.865 1
Nd4 0.025 0.124 0.635 1
Sm1 0.000 0.500 0.500 1
Sm2 0.500 0.000 0.000 1
Y1 0.681 0.307 0.740 1
Y2 0.866 0.109 0.010 1
Y3 0.794 0.249 0.345 1
Y4 0.706 0.749 0.155 1
Y5 0.634 0.609 0.490 1
Y6 0.819 0.807 0.760 1
Y7 0.181 0.193 0.240 1
Y8 0.366 0.391 0.510 1
Y9 0.294 0.251 0.845 1
Y10 0.134 0.891 0.990 1
Y11 0.206 0.751 0.655 1
Y12 0.319 0.693 0.260 1
```

- energy of formation (eV/atom) = 0.200
- ρ (g cm⁻³) = 5.660
- symmetry = P2_1/c (14)

---

Asked for magnetization across the records above, the calculation gives 0.00; 0.00; 0.00; 0.00; 0.00; 0.00; 0.00; 0.00; 0.00 μB/cell in order.